#1
Density functional theory data (PBE) for crystalline Pr2Dy2Mg at its relaxed geometry.

Lattice parameters (Å, degrees): 3.6455 3.6455 24.0716 90.00 90.00 90.00
Sites, in units of the cell vectors:
Pr  0.0000  0.0000  0.0941
Pr  0.0000  0.0000  0.9059
Pr  0.5000  0.5000  0.4059
Pr  0.5000  0.5000  0.5941
Dy  0.0000  0.0000  0.3011
Dy  0.0000  0.0000  0.6989
Dy  0.5000  0.5000  0.1989
Dy  0.5000  0.5000  0.8011
Mg  0.0000  0.0000  0.5000
Mg  0.5000  0.5000  0.0000

Summary:
Its crystal system is tetragonal. The value obtained for the density of states at the Fermi level is 6.0 states/eV/f.u. Its magnetic moment is 0.000 μB/cell.



#2
Density functional theory data (PBE) for crystalline Pr2Dy2Mg at its relaxed geometry.

Lattice parameters (Å, degrees): 4.4349 4.4349 17.7722 90.00 90.00 90.00
Sites, in units of the cell vectors:
Pr  0.0000  0.0000  0.0924
Pr  0.0000  0.0000  0.9076
Pr  0.5000  0.5000  0.4076
Pr  0.5000  0.5000  0.5924
Dy  0.0000  0.5000  0.2500
Dy  0.0000  0.5000  0.7500
Dy  0.5000  0.0000  0.2500
Dy  0.5000  0.0000  0.7500
Mg  0.0000  0.0000  0.5000
Mg  0.5000  0.5000  0.0000

Summary:
Its crystal system is tetragonal. The value obtained for the density of states at the Fermi level is 7.2 states/eV/f.u. Its magnetic moment is 0.000 μB/cell.



The structure with the most favorable energy is #1; the runner-up is 35.3 kJ/mol of atoms above it.



#1
Density functional theory data (PBE) for crystalline Pr4DyMg2 at its relaxed geometry.

Lattice parameters (Å, degrees): 7.5856 7.5856 8.3891 90.00 90.00 90.00
Sites, in units of the cell vectors:
Pr  0.2500  0.2500  0.2500
Pr  0.2500  0.2500  0.7500
Pr  0.2500  0.7500  0.2500
Pr  0.2500  0.7500  0.7500
Pr  0.7500  0.2500  0.2500
Pr  0.7500  0.2500  0.7500
Pr  0.7500  0.7500  0.2500
Pr  0.7500  0.7500  0.7500
Dy  0.0000  0.0000  0.0000
Dy  0.5000  0.5000  0.5000
Mg  0.0000  0.5000  0.0000
Mg  0.0000  0.5000  0.5000
Mg  0.5000  0.0000  0.0000
Mg  0.5000  0.0000  0.5000

Summary:
Its crystal system is tetragonal. The value obtained for the density of states at the Fermi level is 9.3 states/eV/f.u. Its magnetic moment is 0.000 μB/cell.



#2
Density functional theory data (PBE) for crystalline Pr4DyMg2 at its relaxed geometry.

Lattice parameters (Å, degrees): 9.5970 9.5970 9.5970 34.41 34.41 34.41
Sites, in units of the cell vectors:
Pr  0.1302  0.1302  0.1302
Pr  0.2582  0.2582  0.2582
Pr  0.7418  0.7418  0.7418
Pr  0.8698  0.8698  0.8698
Dy  0.5000  0.5000  0.5000
Mg  0.3799  0.3799  0.3799
Mg  0.6201  0.6201  0.6201

Summary:
Its crystal system is trigonal. The value obtained for the density of states at the Fermi level is 9.6 states/eV/f.u. Its magnetic moment is 0.000 μB/cell.



The structure with the most favorable energy is #1; the runner-up is 9.6 kJ/mol of atoms above it.



#1
Density functional theory data (PBE) for crystalline PrDyMgSc at its relaxed geometry.

Lattice parameters (Å, degrees): 7.7146 7.7146 7.7146 90.00 90.00 90.00
Sites, in units of the cell vectors:
Pr  0.0000  0.0000  0.0000
Pr  0.0000  0.5000  0.5000
Pr  0.5000  0.0000  0.5000
Pr  0.5000  0.5000  0.0000
Dy  0.0000  0.0000  0.5000
Dy  0.0000  0.5000  0.0000
Dy  0.5000  0.0000  0.0000
Dy  0.5000  0.5000  0.5000
Mg  0.2500  0.2500  0.7500
Mg  0.2500  0.7500  0.2500
Mg  0.7500  0.2500  0.2500
Mg  0.7500  0.7500  0.7500
Sc  0.2500  0.2500  0.2500
Sc  0.2500  0.7500  0.7500
Sc  0.7500  0.2500  0.7500
Sc  0.7500  0.7500  0.2500

Summary:
Its crystal system is cubic. The value obtained for the density of states at the Fermi level is 4.8 states/eV/f.u. Its magnetic moment is 0.036 μB/cell.



#2
Density functional theory data (PBE) for crystalline PrDyMgSc at its relaxed geometry.

Lattice parameters (Å, degrees): 3.5187 3.5210 9.2913 89.94 89.98 90.00
Sites, in units of the cell vectors:
Pr  0.0000  0.0000  0.0000
Dy  0.4999  0.5001  0.7137
Mg  0.5015  0.4998  0.2583
Sc  0.0008  0.0000  0.4685

Summary:
Its crystal system is triclinic. The value obtained for the density of states at the Fermi level is 5.7 states/eV/f.u. Its magnetic moment is 0.001 μB/cell.



The structure with the most favorable energy is #2; the runner-up is 2.3 kJ/mol of atoms above it.



#1
Density functional theory data (PBE) for crystalline PrDyThMg at its relaxed geometry.

Lattice parameters (Å, degrees): 7.9079 7.9079 7.9079 90.00 90.00 90.00
Sites, in units of the cell vectors:
Pr  0.0000  0.0000  0.0000
Pr  0.0000  0.5000  0.5000
Pr  0.5000  0.0000  0.5000
Pr  0.5000  0.5000  0.0000
Dy  0.0000  0.0000  0.5000
Dy  0.0000  0.5000  0.0000
Dy  0.5000  0.0000  0.0000
Dy  0.5000  0.5000  0.5000
Th  0.2500  0.2500  0.7500
Th  0.2500  0.7500  0.2500
Th  0.7500  0.2500  0.2500
Th  0.7500  0.7500  0.7500
Mg  0.2500  0.2500  0.2500
Mg  0.2500  0.7500  0.7500
Mg  0.7500  0.2500  0.7500
Mg  0.7500  0.7500  0.2500

Summary:
Its crystal system is cubic. The value obtained for the density of states at the Fermi level is 6.7 states/eV/f.u. Its magnetic moment is 0.001 μB/cell.



#2
Density functional theory data (PBE) for crystalline PrDyThMg at its relaxed geometry.

Lattice parameters (Å, degrees): 3.6256 3.6256 9.3499 90.00 90.00 90.00
Sites, in units of the cell vectors:
Pr  0.0000  0.0000  0.0000
Dy  0.0000  0.0000  0.4823
Th  0.5000  0.5000  0.7355
Mg  0.5000  0.5000  0.2513

Summary:
Its crystal system is tetragonal. The value obtained for the density of states at the Fermi level is 3.8 states/eV/f.u. Its magnetic moment is 0.000 μB/cell.



The structure with the most favorable energy is #2; the runner-up is 19.2 kJ/mol of atoms above it.



#1
Density functional theory data (PBE) for crystalline PrDyMgZn at its relaxed geometry.

Lattice parameters (Å, degrees): 7.4759 7.4759 7.4759 90.00 90.00 90.00
Sites, in units of the cell vectors:
Pr  0.0000  0.0000  0.0000
Pr  0.0000  0.5000  0.5000
Pr  0.5000  0.0000  0.5000
Pr  0.5000  0.5000  0.0000
Dy  0.0000  0.0000  0.5000
Dy  0.0000  0.5000  0.0000
Dy  0.5000  0.0000  0.0000
Dy  0.5000  0.5000  0.5000
Mg  0.2500  0.2500  0.2500
Mg  0.2500  0.7500  0.7500
Mg  0.7500  0.2500  0.7500
Mg  0.7500  0.7500  0.2500
Zn  0.2500  0.2500  0.7500
Zn  0.2500  0.7500  0.2500
Zn  0.7500  0.2500  0.2500
Zn  0.7500  0.7500  0.7500

Summary:
Its crystal system is cubic. The value obtained for the density of states at the Fermi level is 4.2 states/eV/f.u. Its magnetic moment is 0.001 μB/cell.



#2
Density functional theory data (PBE) for crystalline PrDyMgZn at its relaxed geometry.

Lattice parameters (Å, degrees): 3.6652 3.6652 7.8470 90.00 90.00 90.00
Sites, in units of the cell vectors:
Pr  0.0000  0.0000  0.0000
Dy  0.0000  0.0000  0.4496
Mg  0.5000  0.5000  0.7121
Zn  0.5000  0.5000  0.2464

Summary:
Its crystal system is tetragonal. The value obtained for the density of states at the Fermi level is 4.4 states/eV/f.u. Its magnetic moment is 0.000 μB/cell.



The structure with the most favorable energy is #2; the runner-up is 3.3 kJ/mol of atoms above it.



#1
Density functional theory data (PBE) for crystalline Dy4MgPt at its relaxed geometry.

Lattice parameters (Å, degrees): 8.0806 8.0806 8.0806 110.50 110.50 107.43
Sites, in units of the cell vectors:
Dy  0.1829  0.0000  0.1829
Dy  0.1983  0.4993  0.3010
Dy  0.1983  0.8974  0.6990
Dy  0.2493  0.4483  0.8010
Dy  0.6474  0.4483  0.1990
Dy  0.7500  0.0671  0.3171
Dy  0.7500  0.4329  0.6829
Dy  0.8171  0.0000  0.8171
Mg  0.4687  0.9687  0.5000
Mg  0.7187  0.7187  0.0000
Pt  0.2265  0.2265  0.0000
Pt  0.9765  0.4765  0.5000

Summary:
Its crystal system is tetragonal. The value obtained for the density of states at the Fermi level is 9.2 states/eV/f.u. Its magnetic moment is 0.000 μB/cell.



#2
Density functional theory data (PBE) for crystalline Dy4MgPt at its relaxed geometry.

Lattice parameters (Å, degrees): 9.7606 9.7606 9.7606 60.00 60.00 60.00
Sites, in units of the cell vectors:
Dy  0.0604  0.0604  0.4396
Dy  0.0604  0.4396  0.0604
Dy  0.0604  0.4396  0.4396
Dy  0.1839  0.1839  0.8161
Dy  0.1839  0.8161  0.1839
Dy  0.1839  0.8161  0.8161
Dy  0.2028  0.5991  0.5991
Dy  0.4396  0.0604  0.0604
Dy  0.4396  0.0604  0.4396
Dy  0.4396  0.4396  0.0604
Dy  0.5991  0.2028  0.5991
Dy  0.5991  0.5991  0.2028
Dy  0.5991  0.5991  0.5991
Dy  0.8161  0.1839  0.1839
Dy  0.8161  0.1839  0.8161
Dy  0.8161  0.8161  0.1839
Mg  0.5094  0.8302  0.8302
Mg  0.8302  0.5094  0.8302
Mg  0.8302  0.8302  0.5094
Mg  0.8302  0.8302  0.8302
Pt  0.3924  0.3924  0.3924
Pt  0.3924  0.3924  0.8228
Pt  0.3924  0.8228  0.3924
Pt  0.8228  0.3924  0.3924

Summary:
Its crystal system is cubic. The value obtained for the density of states at the Fermi level is 6.0 states/eV/f.u. Its magnetic moment is 0.000 μB/cell.



The structure with the most favorable energy is #2; the runner-up is 45.1 kJ/mol of atoms above it.